[1]
# Pu2UGe

A relaxed Pu2UGe crystal (PBE, Alexandria via LeMat-Bulk).

Cell: 3.6417 7.1235 6.8706 Å, 90.00 90.00 90.00°
Element x y z (fractional)
Pu (0.0000, 0.0318, 0.0000)
Pu (0.0000, 0.3877, 0.0403)
Pu (0.5000, 0.6123, 0.5403)
Pu (0.5000, 0.9682, 0.5000)
U (0.0000, 0.6859, 0.7699)
U (0.5000, 0.3141, 0.2699)
Ge (0.0000, 0.2856, 0.6236)
Ge (0.5000, 0.7144, 0.1236)

## Properties
space-group type	No. 31
formation enthalpy at 0 K	0.0125	eV per atom


[2]
# ThTa2CrC4

A relaxed ThTa2CrC4 crystal (PBE, Alexandria via LeMat-Bulk).

Cell: 5.8771 5.8771 10.9049 Å, 90.00 90.00 147.60°
Element x y z (fractional)
Th (0.0999, 0.9001, 0.7500)
Th (0.9001, 0.0999, 0.2500)
Ta (0.3713, 0.6287, 0.5437)
Ta (0.3713, 0.6287, 0.9563)
Ta (0.6287, 0.3713, 0.0437)
Ta (0.6287, 0.3713, 0.4563)
Cr (0.1647, 0.8353, 0.2500)
Cr (0.8353, 0.1647, 0.7500)
C (0.0000, 0.0000, 0.0000)
C (0.0000, 0.0000, 0.5000)
C (0.2632, 0.7368, 0.1149)
C (0.2632, 0.7368, 0.3851)
C (0.4261, 0.5739, 0.7500)
C (0.5739, 0.4261, 0.2500)
C (0.7368, 0.2632, 0.6149)
C (0.7368, 0.2632, 0.8851)

## Properties
space-group type	No. 63
formation enthalpy at 0 K	-0.3867	eV per atom


[3]
# CsHg2GeS

A relaxed CsHg2GeS crystal (PBE, Alexandria via LeMat-Bulk).

Cell: 5.5166 5.5166 5.2119 Å, 90.00 90.00 90.00°
Element x y z (fractional)
Cs (0.0000, 0.0000, 0.0000)
Hg (0.0000, 0.5000, 0.5000)
Hg (0.5000, 0.0000, 0.5000)
Ge (0.5000, 0.5000, 0.5000)
S (0.5000, 0.5000, 0.0000)

## Properties
space-group type	No. 123
formation energy (no corrections)	-21.87	kJ/mol of atoms


[4]
# ScFeMo

A relaxed ScFeMo crystal (PBE, Alexandria via LeMat-Bulk).

Cell: 2.9684 2.9684 6.3922 Å, 90.00 90.00 120.00°
Element x y z (fractional)
Sc (0.0000, 0.0000, 0.0000)
Fe (0.6667, 0.3333, 0.3411)
Mo (0.3333, 0.6667, 0.6234)

## Properties
space-group type	No. 156
formation enthalpy at 0 K	0.3205	eV per atom


[5]
# TcPd3Au

A relaxed TcPd3Au crystal (PBE, Alexandria via LeMat-Bulk).

Cell: 4.7506 4.7506 4.7506 Å, 90.00 90.00 90.00°
Element x y z (fractional)
Tc (0.0000, 0.0000, 0.0000)
Pd (0.0000, 0.0000, 0.5000)
Pd (0.0000, 0.5000, 0.0000)
Pd (0.5000, 0.0000, 0.0000)
Au (0.5000, 0.5000, 0.5000)

## Properties
space-group type	No. 221
formation enthalpy at 0 K	1.1995	eV per atom


[6]
# BaTmPb

A relaxed BaTmPb crystal (PBE, Alexandria via LeMat-Bulk).

Cell: 5.0343 5.0343 8.9998 Å, 90.00 90.00 90.00°
Element x y z (fractional)
Ba (0.2500, 0.2500, 0.1517)
Ba (0.7500, 0.7500, 0.8483)
Tm (0.2500, 0.7500, 0.5000)
Tm (0.7500, 0.2500, 0.5000)
Pb (0.2500, 0.2500, 0.7255)
Pb (0.7500, 0.7500, 0.2745)

## Properties
space-group type	No. 129
formation enthalpy at 0 K	-0.4315	eV per atom


[7]
# Si2H15C5N

A relaxed Si2H15C5N crystal (PBE, Alexandria via LeMat-Bulk).

Cell: 6.8973 13.5815 11.7992 Å, 90.00 110.43 90.00°
Element x y z (fractional)
Si (0.0476, 0.0879, 0.4913)
Si (0.0476, 0.4121, 0.9913)
Si (0.2699, 0.5006, 0.2587)
Si (0.2699, 0.9994, 0.7587)
Si (0.7301, 0.0006, 0.2413)
Si (0.7301, 0.4994, 0.7413)
Si (0.9524, 0.5879, 0.0087)
Si (0.9524, 0.9121, 0.5087)
H (0.0171, 0.0283, 0.1609)
H (0.0171, 0.4717, 0.6609)
H (0.0295, 0.0994, 0.8297)
H (0.0295, 0.2425, 0.6005)
H (0.0295, 0.2575, 0.1005)
H (0.0295, 0.4006, 0.3297)
H (0.1455, 0.7473, 0.0506)
H (0.1455, 0.7527, 0.5506)
H (0.1974, 0.0281, 0.9505)
H (0.1974, 0.1755, 0.3558)
H (0.1974, 0.3245, 0.8558)
H (0.1974, 0.4719, 0.4505)
H (0.2092, 0.6770, 0.9414)
H (0.2092, 0.8230, 0.4414)
H (0.2807, 0.6834, 0.2910)
H (0.2807, 0.8166, 0.7910)
H (0.3462, 0.0690, 0.4197)
H (0.3462, 0.4310, 0.9197)
H (0.3713, 0.1783, 0.5072)
H (0.3713, 0.3217, 0.0072)
H (0.4085, 0.1705, 0.7609)
H (0.4085, 0.3295, 0.2609)
H (0.4202, 0.5819, 0.7629)
H (0.4202, 0.9181, 0.2629)
H (0.4293, 0.6005, 0.6159)
H (0.4293, 0.8995, 0.1159)
H (0.4935, 0.6250, 0.4009)
H (0.4935, 0.8750, 0.9009)
H (0.4941, 0.6431, 0.2516)
H (0.4941, 0.8569, 0.7516)
H (0.5059, 0.1431, 0.2484)
H (0.5059, 0.3569, 0.7484)
H (0.5065, 0.1250, 0.0991)
H (0.5065, 0.3750, 0.5991)
H (0.5707, 0.1005, 0.8841)
H (0.5707, 0.3995, 0.3841)
H (0.5798, 0.0819, 0.7371)
H (0.5798, 0.4181, 0.2371)
H (0.5915, 0.6705, 0.7391)
H (0.5915, 0.8295, 0.2391)
H (0.6287, 0.6783, 0.9928)
H (0.6287, 0.8217, 0.4928)
H (0.6538, 0.5690, 0.0803)
H (0.6538, 0.9310, 0.5803)
H (0.7193, 0.1834, 0.2090)
H (0.7193, 0.3166, 0.7090)
H (0.7908, 0.1770, 0.5586)
H (0.7908, 0.3230, 0.0586)
H (0.8026, 0.5281, 0.5495)
H (0.8026, 0.6755, 0.1442)
H (0.8026, 0.8245, 0.6442)
H (0.8026, 0.9719, 0.0495)
H (0.8545, 0.2473, 0.4494)
H (0.8545, 0.2527, 0.9494)
H (0.9705, 0.5994, 0.6703)
H (0.9705, 0.7425, 0.8995)
H (0.9705, 0.7575, 0.3995)
H (0.9705, 0.9006, 0.1703)
H (0.9829, 0.5283, 0.3391)
H (0.9829, 0.9717, 0.8391)
C (0.0818, 0.6986, 0.9717)
C (0.0818, 0.8014, 0.4717)
C (0.1053, 0.0272, 0.8532)
C (0.1053, 0.4728, 0.3532)
C (0.2606, 0.1313, 0.4389)
C (0.2606, 0.3687, 0.9389)
C (0.3959, 0.6245, 0.3046)
C (0.3959, 0.8755, 0.8046)
C (0.4756, 0.0969, 0.7874)
C (0.4756, 0.4031, 0.2874)
C (0.5244, 0.5969, 0.7126)
C (0.5244, 0.9031, 0.2126)
C (0.6041, 0.1245, 0.1954)
C (0.6041, 0.3755, 0.6954)
C (0.7394, 0.6313, 0.0611)
C (0.7394, 0.8687, 0.5611)
C (0.8947, 0.5272, 0.6468)
C (0.8947, 0.9728, 0.1468)
C (0.9182, 0.1986, 0.5283)
C (0.9182, 0.3014, 0.0283)
N (0.1211, 0.5020, 0.1059)
N (0.1211, 0.9980, 0.6059)
N (0.8789, 0.0020, 0.3941)
N (0.8789, 0.4980, 0.8941)

## Properties
space-group type	No. 14
electronic total energy	-5.33	eV per atom


[8]
# Re2PtI2

A relaxed Re2PtI2 crystal (PBE, Alexandria via LeMat-Bulk).

Cell: 6.8288 6.8288 4.4484 Å, 90.00 90.00 90.00°
Element x y z (fractional)
Re (0.1239, 0.3761, 0.0000)
Re (0.3761, 0.8761, 0.0000)
Re (0.6239, 0.1239, 0.0000)
Re (0.8761, 0.6239, 0.0000)
Pt (0.0000, 0.0000, 0.0000)
Pt (0.5000, 0.5000, 0.0000)
I (0.1773, 0.6773, 0.5000)
I (0.3227, 0.1773, 0.5000)
I (0.6773, 0.8227, 0.5000)
I (0.8227, 0.3227, 0.5000)

## Properties
space-group type	No. 127
formation energy (no corrections)	110.62	kJ/mol of atoms


[9]
# BaTb2F7

A relaxed BaTb2F7 crystal (PBE, Alexandria via LeMat-Bulk).

Cell: 6.7164 6.7164 4.3212 Å, 90.00 90.00 116.22°
Element x y z (fractional)
Ba (0.0000, 0.0000, 0.0000)
Tb (0.3103, 0.6897, 0.5000)
Tb (0.6897, 0.3103, 0.5000)
F (0.0454, 0.3279, 0.5000)
F (0.2522, 0.7478, 0.0000)
F (0.3279, 0.0454, 0.5000)
F (0.5000, 0.5000, 0.5000)
F (0.6721, 0.9546, 0.5000)
F (0.7478, 0.2522, 0.0000)
F (0.9546, 0.6721, 0.5000)

## Properties
space-group type	No. 65
formation energy (no corrections)	-368.97	kJ/mol of atoms


[10]
# Mn2GeB

A relaxed Mn2GeB crystal (PBE, Alexandria via LeMat-Bulk).

Cell: 4.9877 4.9877 4.9877 Å, 102.04 102.04 125.64°
Element x y z (fractional)
Mn (0.0432, 0.6250, 0.9182)
Mn (0.3750, 0.2932, 0.4182)
Mn (0.7068, 0.1250, 0.0818)
Mn (0.8750, 0.9568, 0.5818)
Ge (0.2500, 0.7500, 0.5000)
Ge (0.5000, 0.5000, 0.0000)
B (0.0000, 0.0000, 0.0000)
B (0.7500, 0.2500, 0.5000)

## Properties
space-group type	No. 122
formation enthalpy at 0 K	0.2438	eV per atom


[11]
# ScPOs2

A relaxed ScPOs2 crystal (PBE, Alexandria via LeMat-Bulk).

Cell: 2.8901 3.9888 5.2743 Å, 90.00 90.00 90.00°
Element x y z (fractional)
Sc (0.0000, 0.0000, 0.0000)
P (0.5000, 0.5000, 0.7355)
Os (0.0000, 0.0000, 0.5060)
Os (0.5000, 0.5000, 0.2937)

## Properties
space-group type	No. 25
formation enthalpy at 0 K	-0.1454	eV per atom


[12]
# CoHg2Se2

A relaxed CoHg2Se2 crystal (PBE, Alexandria via LeMat-Bulk).

Cell: 6.0138 6.0138 6.9053 Å, 90.00 90.00 90.00°
Element x y z (fractional)
Co (0.0000, 0.0000, 0.0000)
Co (0.5000, 0.5000, 0.0000)
Hg (0.2345, 0.2655, 0.5000)
Hg (0.2655, 0.7655, 0.5000)
Hg (0.7345, 0.2345, 0.5000)
Hg (0.7655, 0.7345, 0.5000)
Se (0.1464, 0.3536, 0.0000)
Se (0.3536, 0.8536, 0.0000)
Se (0.6464, 0.1464, 0.0000)
Se (0.8536, 0.6464, 0.0000)

## Properties
space-group type	No. 127
formation energy (no corrections)	2.88	kJ/mol of atoms


[13]
# Ac2CuRh3

A relaxed Ac2CuRh3 crystal (PBE, Alexandria via LeMat-Bulk).

Cell: 8.6960 8.6290 6.0810 Å, 70.04 68.86 41.09°
Element x y z (fractional)
Ac (0.2482, 0.7518, 0.7518)
Ac (0.2500, 0.2500, 0.2500)
Ac (0.7500, 0.7500, 0.7500)
Ac (0.7518, 0.2482, 0.2482)
Cu (0.3324, 0.3324, 0.6676)
Cu (0.6676, 0.6676, 0.3324)
Rh (0.1693, 0.1693, 0.8307)
Rh (0.1719, 0.6565, 0.3435)
Rh (0.3435, 0.8281, 0.1719)
Rh (0.6565, 0.1719, 0.8281)
Rh (0.8281, 0.3435, 0.6565)
Rh (0.8307, 0.8307, 0.1693)

## Properties
space-group type	No. 69
formation enthalpy at 0 K	-0.4788	eV per atom


[14]
# AcCoAg

A relaxed AcCoAg crystal (PBE, Alexandria via LeMat-Bulk).

Cell: 8.8634 8.8634 4.0119 Å, 90.00 90.00 152.85°
Element x y z (fractional)
Ac (0.1023, 0.8977, 0.7500)
Ac (0.8977, 0.1023, 0.2500)
Co (0.4690, 0.5310, 0.7500)
Co (0.5310, 0.4690, 0.2500)
Ag (0.2943, 0.7057, 0.7500)
Ag (0.7057, 0.2943, 0.2500)

## Properties
space-group type	No. 63
formation enthalpy at 0 K	-0.0806	eV per atom


[15]
# CsZnP

A relaxed CsZnP crystal (PBE, Alexandria via LeMat-Bulk).

Cell: 6.2295 6.2295 7.1329 Å, 120.62 120.62 65.42°
Element x y z (fractional)
Cs (0.0000, 0.0000, 0.0000)
Cs (0.7116, 0.7116, 0.2759)
Zn (0.3213, 0.9574, 0.6509)
Zn (0.9574, 0.3213, 0.6509)
P (0.3383, 0.3383, 0.6553)
P (0.5369, 0.5369, 0.6092)

## Properties
space-group type	No. 8
formation enthalpy at 0 K	-0.1844	eV per atom


[16]
# CaLaIr3

A relaxed CaLaIr3 crystal (PBE, Alexandria via LeMat-Bulk).

Cell: 4.8884 4.8884 4.8884 Å, 90.00 90.00 90.00°
Element x y z (fractional)
Ca (0.0000, 0.0000, 0.0000)
La (0.5000, 0.5000, 0.5000)
Ir (0.0000, 0.0000, 0.5000)
Ir (0.0000, 0.5000, 0.0000)
Ir (0.5000, 0.0000, 0.0000)

## Properties
space-group type	No. 221
formation enthalpy at 0 K	1.0959	eV per atom


[17]
# ZrTi5Mn4

A relaxed ZrTi5Mn4 crystal (PBE, Alexandria via LeMat-Bulk).

Cell: 3.0086 3.0086 16.2195 Å, 90.00 90.00 90.00°
Element x y z (fractional)
Zr (0.0000, 0.0000, 0.0000)
Ti (0.5000, 0.5000, 0.1387)
Ti (0.5000, 0.5000, 0.3161)
Ti (0.5000, 0.5000, 0.5000)
Ti (0.5000, 0.5000, 0.6839)
Ti (0.5000, 0.5000, 0.8613)
Mn (0.0000, 0.0000, 0.2223)
Mn (0.0000, 0.0000, 0.4085)
Mn (0.0000, 0.0000, 0.5915)
Mn (0.0000, 0.0000, 0.7777)

## Properties
space-group type	No. 123
formation enthalpy at 0 K	-0.1842	eV per atom


[18]
# SbH2Au

A relaxed SbH2Au crystal (PBE, Alexandria via LeMat-Bulk).

Cell: 3.0719 6.6906 9.5632 Å, 93.95 90.31 90.04°
Element x y z (fractional)
Sb (0.0034, 0.2673, 0.1755)
Sb (0.9966, 0.7327, 0.8245)
H (0.1914, 0.2036, 0.5527)
H (0.3147, 0.2037, 0.6207)
H (0.6853, 0.7963, 0.3793)
H (0.8086, 0.7964, 0.4473)
Au (0.5000, 0.0000, 0.0000)
Au (0.5000, 0.5000, 0.0000)

## Properties
space-group type	No. 2
electronic total energy	-3.52	eV per atom


[19]
# SrTe2Cl

A relaxed SrTe2Cl crystal (PBE, Alexandria via LeMat-Bulk).

Cell: 4.9812 4.9812 5.7254 Å, 90.00 90.00 90.00°
Element x y z (fractional)
Sr (0.0000, 0.0000, 0.0000)
Te (0.5000, 0.5000, 0.2649)
Te (0.5000, 0.5000, 0.7351)
Cl (0.0000, 0.0000, 0.5000)

## Properties
space-group type	No. 123
formation energy (no corrections)	-92.61	kJ/mol of atoms


[20]
# Sr2Tl6Hg

A relaxed Sr2Tl6Hg crystal (PBE, Alexandria via LeMat-Bulk).

Cell: 8.5744 8.5744 6.9927 Å, 113.54 113.54 37.76°
Element x y z (fractional)
Sr (0.0721, 0.0721, 0.3265)
Sr (0.9279, 0.9279, 0.6735)
Tl (0.1668, 0.1668, 0.9646)
Tl (0.2921, 0.2921, 0.7072)
Tl (0.3851, 0.3851, 0.3159)
Tl (0.6149, 0.6149, 0.6841)
Tl (0.7079, 0.7079, 0.2928)
Tl (0.8332, 0.8332, 0.0354)
Hg (0.5000, 0.5000, 0.0000)

## Properties
space-group type	No. 12
formation enthalpy at 0 K	-0.2012	eV per atom


[21]
# CoAgP

A relaxed CoAgP crystal (PBE, Alexandria via LeMat-Bulk).

Cell: 5.3323 5.3323 5.3323 Å, 148.13 148.13 45.70°
Element x y z (fractional)
Co (0.0000, 0.0000, 0.0000)
Ag (0.2961, 0.2961, 0.0000)
P (0.5874, 0.5874, 0.0000)

## Properties
space-group type	No. 107
formation enthalpy at 0 K	-0.0212	eV per atom


Values for total magnetic moment, Bohr magnetons per cell, ordered as above
4.8, 0.0, 0.0, 1.2, 0.0, 2.0, 0.2, 0.0, 0.5, 2.1, 0.0, 2.9, 0.0, 1.4, 0.0, 0.0, 1.9, 0.0, 0.0, 0.0, 0.0